VASP calculation (PBE) on a geometry-optimized NaPd6Pb3 structure.

```
NaPd6Pb3
1.0
4.328 -6.284 0.000
4.328 6.284 0.000
0.000 0.000 7.501
Na Pd Pb
2 12 6
Cartesian
4.328 3.958 3.751 Na
4.328 -3.958 0.000 Na
2.030 2.608 2.152 Pd
4.328 5.718 6.220 Pd
2.782 1.062 7.208 Pd
4.328 3.196 0.323 Pd
2.782 -1.062 3.457 Pd
2.030 -2.608 5.903 Pd
6.627 2.608 2.152 Pd
5.875 1.062 7.208 Pd
4.328 -3.196 4.073 Pd
5.875 -1.062 3.457 Pd
4.328 -5.718 2.469 Pd
6.627 -2.608 5.903 Pd
1.767 1.149 4.675 Pb
1.767 -1.149 0.924 Pb
4.328 0.932 2.122 Pb
4.328 -0.932 5.873 Pb
6.890 1.149 4.675 Pb
6.890 -1.149 0.924 Pb
```

- Theoretical density: 10.443 g/cm³
- VASP energy: -4.5204 eV per atom
- SG: No. 36